Record 1
10
Lattice="3.4562 1.9954 6.2979 -3.4562 1.9954 6.2979 0.0000 -3.9909 6.2979" Properties=species:S:1:pos:R:3 comment="Li2GaBiCl6 | Alexandria via LeMat-Bulk | GGA-PBE | optimized geometry" e_tot_ev_per_atom=-3.43 formation_energy_uncorrected_ev_per_fu=-12.48 spacegroup="R3 (146)" pbc="T T T"
Li 0.0000 0.0000 0.0000
Li 0.0000 0.0000 8.8436
Ga 0.0000 0.0000 5.1652
Bi 0.0000 0.0000 14.8638
Cl -0.9538 -1.9462 7.2200
Cl -2.1065 -0.4234 10.2377
Cl -1.2086 1.7991 7.2200
Cl 1.4199 -1.6126 10.2376
Cl 2.1623 0.1471 7.2200
Cl 0.6866 2.0360 10.2376


Record 2
8
Lattice="5.0200 -1.6939 0.0000 5.0200 1.6939 0.0000 -4.1479 0.0000 8.3371" Properties=species:S:1:pos:R:3 comment="GaBi2ClO4 | Alexandria via LeMat-Bulk | GGA-PBE | optimized geometry" e_tot_ev_per_atom=-5.36 formation_energy_uncorrected_ev_per_fu=-10.40 spacegroup="C2/m (12)" pbc="T T T"
Ga 0.0000 0.0000 0.0000
Bi -1.3357 0.0000 6.5759
Bi 7.2278 0.0000 1.7611
Cl 2.9460 0.0000 4.1685
O 0.7220 0.0000 1.7502
O 3.6761 0.0000 0.3635
O 2.2160 0.0000 7.9736
O 5.1700 0.0000 6.5868


Record 3
5
Lattice="5.3223 0.0000 0.0000 0.0000 5.3223 0.0000 0.0000 0.0000 6.1041" Properties=species:S:1:pos:R:3 comment="GaBiOsCl2 | Alexandria via LeMat-Bulk | GGA-PBE | optimized geometry" e_tot_ev_per_atom=-3.20 formation_energy_uncorrected_ev_per_fu=5.83 spacegroup="P4/mmm (123)" pbc="T T T"
Ga 0.0000 0.0000 0.0000
Bi 0.0000 0.0000 3.0520
Os 2.6611 2.6611 0.0000
Cl 0.0000 2.6611 3.0520
Cl 2.6611 0.0000 3.0520


Record 4
5
Lattice="4.7689 0.0000 0.0000 0.0000 4.7689 0.0000 0.0000 0.0000 5.0919" Properties=species:S:1:pos:R:3 comment="GaBiPCl2 | Alexandria via LeMat-Bulk | GGA-PBE | optimized geometry" e_tot_ev_per_atom=-3.26 formation_energy_uncorrected_ev_per_fu=-0.28 spacegroup="P4/mmm (123)" pbc="T T T"
Ga 0.0000 0.0000 0.0000
Bi 2.3845 2.3845 2.5460
P 0.0000 0.0000 2.5460
Cl 0.0000 2.3845 0.0000
Cl 2.3845 0.0000 0.0000


Record 5
5
Lattice="5.4917 0.0000 0.0000 0.0000 5.4917 0.0000 0.0000 0.0000 5.4192" Properties=species:S:1:pos:R:3 comment="GaBiPCl2 | Alexandria via LeMat-Bulk | GGA-PBE | optimized geometry" e_tot_ev_per_atom=-3.19 formation_energy_uncorrected_ev_per_fu=0.06 spacegroup="P4/mmm (123)" pbc="T T T"
Ga 0.0000 0.0000 0.0000
Bi 2.7459 2.7459 2.7096
P 2.7459 2.7459 0.0000
Cl 0.0000 2.7459 2.7096
Cl 2.7459 0.0000 2.7096


Record 6
4
Lattice="0.0000 3.7956 3.7956 3.7956 0.0000 3.7956 3.7956 3.7956 0.0000" Properties=species:S:1:pos:R:3 comment="GaBiPbCl | Alexandria via LeMat-Bulk | GGA-PBE | optimized geometry" e_tot_ev_per_atom=-3.32 formation_energy_uncorrected_ev_per_fu=-0.82 spacegroup="F-43m (216)" pbc="T T T"
Ga 0.0000 0.0000 0.0000
Bi 5.6934 5.6934 5.6934
Pb 3.7956 3.7956 3.7956
Cl 1.8978 1.8978 1.8978


Record 7
5
Lattice="5.2499 0.0000 0.0000 0.0000 5.2499 0.0000 0.0000 0.0000 5.4945" Properties=species:S:1:pos:R:3 comment="GaBiS2Cl | Alexandria via LeMat-Bulk | GGA-PBE | optimized geometry" e_tot_ev_per_atom=-3.44 formation_energy_uncorrected_ev_per_fu=-0.20 spacegroup="P4/mmm (123)" pbc="T T T"
Ga 0.0000 0.0000 0.0000
Bi 2.6249 2.6249 2.7473
S 0.0000 2.6249 2.7473
S 2.6249 0.0000 2.7473
Cl 2.6249 2.6249 0.0000


Record 8
5
Lattice="4.8476 0.0000 0.0000 0.0000 4.8476 0.0000 0.0000 0.0000 4.6634" Properties=species:S:1:pos:R:3 comment="GaBiS2Cl | Alexandria via LeMat-Bulk | GGA-PBE | optimized geometry" e_tot_ev_per_atom=-3.56 formation_energy_uncorrected_ev_per_fu=-0.78 spacegroup="P4/mmm (123)" pbc="T T T"
Ga 0.0000 0.0000 0.0000
Bi 2.4238 2.4238 2.3317
S 0.0000 2.4238 0.0000
S 2.4238 0.0000 0.0000
Cl 0.0000 0.0000 2.3317